Entry 1:
AcNd2Sn2Pd2, relaxed, DFT GGA-PBE; calculated formation energy = -503 kJ/mol of formula units; crystal system = trigonal; symmetry = R-3m (166)
1.0
-0.214 2.522 -4.097
-3.934 -0.232 -2.767
-5.075 7.994 2.356
Ac Nd Sn Pd
1 2 2 2
Direct
0.000 0.000 0.000
0.136 0.136 0.593
0.864 0.864 0.407
0.742 0.742 0.775
0.258 0.258 0.225
0.572 0.572 0.283
0.428 0.428 0.717

***

Entry 2:
TbPmHo4Tm2, relaxed, DFT GGA-PBE; calculated formation energy = 342 kJ/mol of formula units; crystal system = monoclinic; symmetry = C2/c (15)
1.0
9.296 -0.058 -1.733
-0.064 9.296 -1.733
-5.867 -5.871 8.252
Tb Pm Ho Tm
2 2 8 4
Direct
0.500 0.500 0.500
0.000 0.000 0.000
0.000 0.500 0.000
0.000 0.500 0.500
0.254 0.750 0.002
0.750 0.246 0.498
0.250 0.754 0.502
0.746 0.250 0.998
0.746 0.752 0.001
0.748 0.754 0.499
0.252 0.246 0.501
0.254 0.248 0.999
0.500 0.000 0.000
0.500 0.000 0.500
0.000 0.000 0.500
0.500 0.500 0.000